Entry 1:
## Ce3Mg2 (GGA-PBE)

Data for a relaxed structure of Ce3Mg2.

```
10
Lattice="-1.756 -6.542 2.419 4.715 3.290 1.628 -4.400 3.372 5.927" Properties=species:S:1:pos:R:3 pbc="T T T"
Ce -3.078 -1.585 4.173
Ce 0.000 0.000 0.000
Ce -0.789 0.909 7.231
Ce -1.530 -4.059 3.952
Ce 0.089 4.179 6.022
Ce -0.652 -0.788 2.742
Mg -1.554 2.015 4.322
Mg 0.113 -1.894 5.652
Mg 2.347 0.337 2.616
Mg -3.788 -0.216 7.358
```

## Properties
**ΔH_f (0 K)**: 0.2086 eV/atom
**SG**: No. 64
**Density of states at the Fermi level**: 29.136 states/eV per cell

Entry 2:
## CeMg2 (GGA-PBE)

Data for a relaxed structure of CeMg2.

```
3
Lattice="-1.406 -2.803 0.486 1.906 -1.331 -2.159 4.658 0.521 6.122" Properties=species:S:1:pos:R:3 pbc="T T T"
Mg 1.960 -2.606 1.005
Mg 3.198 -1.008 3.444
Ce 0.000 0.000 0.000
```

## Properties
**ΔH_f (0 K)**: 0.0076 eV/atom
**SG**: No. 139
**Density of states at the Fermi level**: 5.506 states/eV per cell

Entry 3:
## Ce2Mg (GGA-PBE)

Data for a relaxed structure of Ce2Mg.

```
6
Lattice="3.139 0.000 0.000 -1.570 2.719 0.000 0.000 0.000 17.778" Properties=species:S:1:pos:R:3 pbc="T T T"
Ce 0.000 1.813 16.280
Ce 0.000 1.813 10.388
Ce 1.570 0.906 7.390
Ce 1.570 0.906 1.499
Mg 1.570 0.906 13.334
Mg 0.000 1.813 4.445
```

## Properties
**ΔH_f (0 K)**: 0.0670 eV/atom
**SG**: No. 194
**Density of states at the Fermi level**: 13.686 states/eV per cell

Entry 4:
## CeMg4 (GGA-PBE)

Data for a relaxed structure of CeMg4.

```
5
Lattice="-1.679 -2.599 -0.119 1.040 -0.471 -4.412 7.446 -3.168 4.448" Properties=species:S:1:pos:R:3 pbc="T T T"
Ce 0.000 0.000 0.000
Mg 1.306 -2.608 -1.767
Mg 2.853 -1.883 0.874
Mg 3.954 -4.356 -0.956
Mg 5.501 -3.631 1.685
```

## Properties
**ΔH_f (0 K)**: 0.0299 eV/atom
**SG**: No. 71
**Density of states at the Fermi level**: 8.119 states/eV per cell

Entry 5:
## CeMg6Mn (GGA-PBE)

Data for a relaxed structure of CeMg6Mn.

```
8
Lattice="2.968 -6.105 0.000 2.968 6.105 0.000 0.000 0.000 5.074" Properties=species:S:1:pos:R:3 pbc="T T T"
Ce 2.968 2.269 2.537
Mg 1.496 -0.838 2.537
Mg 4.441 -0.838 2.537
Mg 1.470 0.927 0.000
Mg 4.467 0.927 0.000
Mg 2.968 -2.464 0.000
Mg 2.968 4.225 0.000
Mn 2.968 -4.206 2.537
```

## Properties
**ΔH_f (0 K)**: 0.1568 eV/atom
**SG**: No. 38
**Density of states at the Fermi level**: 10.383 states/eV per cell

Entry 6:
## CeMg6Mn (GGA-PBE)

Data for a relaxed structure of CeMg6Mn.

```
8
Lattice="3.182 -5.830 0.000 3.182 5.830 0.000 0.000 0.000 4.983" Properties=species:S:1:pos:R:3 pbc="T T T"
Ce 3.182 2.244 2.492
Mg 1.584 0.833 0.000
Mg 4.780 0.833 0.000
Mg 3.182 -2.113 0.000
Mg 1.575 -0.850 2.492
Mg 4.789 -0.850 2.492
Mg 3.182 -3.981 2.492
Mn 3.182 3.885 0.000
```

## Properties
**ΔH_f (0 K)**: 0.1644 eV/atom
**SG**: No. 38
**Density of states at the Fermi level**: 9.894 states/eV per cell

Entry 7:
## CeMg2MnN4 (GGA-PBE)

Data for a relaxed structure of CeMg2MnN4.

```
16
Lattice="3.258 0.000 0.000 -1.629 5.534 0.000 0.000 0.000 10.571" Properties=species:S:1:pos:R:3 pbc="T T T"
Ce 0.000 0.928 7.928
Ce 1.629 4.606 2.643
Mg 0.000 4.204 5.697
Mg 1.629 1.330 0.412
Mg 1.629 1.330 4.873
Mg 0.000 4.204 10.159
Mn 1.629 3.572 7.928
Mn 0.000 1.962 2.643
N 0.000 3.067 1.331
N 1.629 2.467 6.616
N 1.629 2.467 9.240
N 0.000 3.067 3.955
N 0.000 0.000 5.285
N 0.000 0.000 0.000
N 0.000 4.578 7.928
N 1.629 0.956 2.643
```

## Properties
**SG**: No. 63
**Density of states at the Fermi level**: 9.437 states/eV per cell
**Raw formation energy**: -0.715 eV/atom

Entry 8:
## CePuMgMn (GGA-PBE)

Data for a relaxed structure of CePuMgMn.

```
4
Lattice="4.940 0.000 0.000 2.470 4.278 0.000 2.470 1.426 4.033" Properties=species:S:1:pos:R:3 pbc="T T T"
Mg 0.000 0.000 0.000
Mn 7.410 4.278 3.025
Ce 2.470 1.426 1.008
Pu 4.940 2.852 2.017
```

## Properties
**ΔH_f (0 K)**: 0.2876 eV/atom
**SG**: No. 216
**Density of states at the Fermi level**: 9.874 states/eV per cell

- density of states at the Fermi level of number 4 (CeMg4)?
  8.119 states/eV per cell